# LiMg2H7Ru (PBEsol, relaxed)
# Energy = -3.89 eV/atom
# Crystal system = hexagonal
data_LiMg2H7Ru
_chemical_formula_sum 'Li2 Mg4 H14 Ru2'
_cell_length_a 4.6422
_cell_length_b 4.6422
_cell_length_c 10.6283
_cell_angle_alpha 90.00
_cell_angle_beta 90.00
_cell_angle_gamma 120.00
_space_group_name_H-M_alt 'P 63/m m c'
_space_group_IT_number 194
_space_group_name_Hall '-P 6c 2c'
loop_
_atom_site_label
_atom_site_type_symbol
_atom_site_fract_x
_atom_site_fract_y
_atom_site_fract_z
_atom_site_occupancy
Li1 Li 0.0000 0.0000 0.2500 1
Mg1 Mg 0.3333 0.6667 0.0751 1
H1 H 0.1668 0.3336 0.5958 1
H2 H 0.3333 0.6667 0.2500 1
Ru1 Ru 0.0000 0.0000 0.0000 1